Entry from Alexandria: Sm2Tm2Cd after structural relaxation (PBE).

Cell: 5.141 5.141 12.673 Å, 101.70 101.70 90.00°
Element x y z (fractional)
Sm1 0.672 0.672 0.345
Cd1 0.250 0.750 0.500
Tm1 0.572 0.072 0.145
Cd2 0.500 0.500 0.000
Tm2 0.178 0.178 0.355
Sm2 0.078 0.578 0.155
Tm3 0.822 0.822 0.645
Sm3 0.422 0.922 0.845
Tm4 0.928 0.428 0.855
Sm4 0.328 0.328 0.655

Energy of formation   0.06 eV/atom
Space group   I4_1/amd

Entry from Alexandria: SmTm2Cd after structural relaxation (PBE).

Cell: 3.581 3.581 10.868 Å, 80.52 80.52 60.00°
Element x y z (fractional)
Sm1 0.500 0.500 0.500
Cd1 0.666 0.666 0.001
Tm1 0.257 0.257 0.229
Tm2 0.077 0.077 0.770

Energy of formation   -0.06 eV/atom
Space group   R3m

Entry from Alexandria: Sm2Tm3Cd3 after structural relaxation (PBE).

Cell: 3.743 5.279 11.579 Å, 103.18 99.30 90.00°
Element x y z (fractional)
Sm1 0.732 0.232 0.464
Tm1 0.621 0.621 0.242
Tm2 0.379 0.379 0.758
Cd1 0.114 0.114 0.227
Cd2 0.886 0.886 0.773
Cd3 0.000 0.500 0.000
Sm2 0.268 0.768 0.536
Tm3 0.500 0.000 0.000

Energy of formation   -0.22 eV/atom
Space group   Immm

Entry from Alexandria: SmTm2Cd after structural relaxation (PBE).

Cell: 3.758 5.436 6.561 Å, 114.48 106.64 90.00°
Element x y z (fractional)
Cd1 0.500 0.000 0.000
Sm1 0.000 0.500 0.000
Tm1 0.775 0.775 0.551
Tm2 0.225 0.225 0.449

Energy of formation   -0.15 eV/atom
Space group   Immm